(1)
The following is a DFT calculation (PBE) of a relaxed structure of ErBeV.

Fermi-level density of states, states/eV per cell: 11.71
Calculated density, g/cm³: 7.2
Calculated volume, A^3/atom: 17.5
Spin magnetization, μB per formula unit: 0.0
Energy of formation, eV/atom: 0.1622

abc: 10.4542 3.4327 7.0044
angles: 90.00 123.41 90.00
Closest atoms and distances in Å follow each position.
Space group C2/m (No. 12)
Inequivalent atoms, fractional coordinates:
Er (0.0730, 0.0000, 0.2888) x4  5 Be 2.82-3.02, 4 V 3.12-3.15
Be (0.1210, 0.5000, 0.6607) x4  1 Be 2.28, 3 V 2.42-2.50
V (0.2119, 0.5000, 0.0743) x4  2 V 2.36, 3 Be 2.42-2.50

(2)
The following is a DFT calculation (PBE) of a relaxed structure of Ca2CuGeH.

Fermi-level density of states, states/eV per cell: 2.69
Calculated density, g/cm³: 3.9
Calculated volume, A^3/atom: 18.4
Spin magnetization, μB per formula unit: 0.0

abc: 4.9912 4.9912 3.6887
angles: 90.00 90.00 90.00
Closest atoms and distances in Å follow each position.
Space group P4/mmm (No. 123)
Inequivalent atoms, fractional coordinates:
Ca (0.0000, 0.5000, 0.0000) x2  2 H 2.50
Cu (0.0000, 0.0000, 0.5000) x1  2 H 1.84
Ge (0.5000, 0.5000, 0.5000) x1  8 Ca 3.10
H (0.0000, 0.0000, 0.0000) x1  2 Cu 1.84

Going through the records in order, we get final energy values of -5.640, -3.579 eV per atom.